The following is a SCAN calculation of a PBEsol-optimized structure of TaTeIr2, from Alexandria via LeMat-Bulk.

Summary:
The value obtained for the calculated total energy is -245.79 eV/cell. The symmetry is No. 139. As for the crystal system: tetragonal.

Cell: 4.9420 4.9420 4.9420 Å, 131.67 131.67 70.75°
Atoms (fractional coordinates):
Ta (0.0000, 0.0000, 0.0000)
Te (0.5000, 0.5000, 0.0000)
Ir (0.2500, 0.7500, 0.5000)
Ir (0.7500, 0.2500, 0.5000)